No. 1
Entry from Alexandria: a relaxed structure of UGaIrPd (PBE).

Output
ΔE_f in eV/f.u.: -1.6
SG: No. 216
M_tot in μB/cell: 7.10
Fermi-level density of states in states/eV per atom: 1.550

a b c (Å): 6.617 6.617 6.617
angles (deg): 90.00 90.00 90.00
Element x y z (fractional)
U 0.000 0.000 0.000
U 0.000 0.500 0.500
U 0.500 0.000 0.500
U 0.500 0.500 0.000
Ga 0.000 0.000 0.500
Ga 0.000 0.500 0.000
Ga 0.500 0.000 0.000
Ga 0.500 0.500 0.500
Ir 0.250 0.250 0.750
Ir 0.250 0.750 0.250
Ir 0.750 0.250 0.250
Ir 0.750 0.750 0.750
Pd 0.250 0.250 0.250
Pd 0.250 0.750 0.750
Pd 0.750 0.250 0.750
Pd 0.750 0.750 0.250

=====

No. 2
Entry from Alexandria: a relaxed structure of Tl3Cd2 (PBE).

Output
ΔE_f in eV/f.u.: 0.6
SG: No. 167
M_tot in μB/cell: 0.00
Fermi-level density of states in states/eV per atom: 0.392

a b c (Å): 8.631 8.631 8.631
angles (deg): 46.08 46.08 46.08
Element x y z (fractional)
Tl 0.184 0.750 0.316
Tl 0.250 0.684 0.816
Tl 0.316 0.184 0.750
Tl 0.684 0.816 0.250
Tl 0.750 0.316 0.184
Tl 0.816 0.250 0.684
Cd 0.188 0.188 0.188
Cd 0.312 0.312 0.312
Cd 0.688 0.688 0.688
Cd 0.812 0.812 0.812

=====

No. 3
Entry from Alexandria: a relaxed structure of Mg4ZnSe2 (PBE).

Output
SG: No. 139
M_tot in μB/cell: 0.00
E_form (uncorrected) in eV/atom: -0.23
Fermi-level density of states in states/eV per atom: 0.854

a b c (Å): 6.634 6.634 7.299
angles (deg): 90.00 90.00 90.00
Element x y z (fractional)
Mg 0.219 0.219 0.000
Mg 0.219 0.781 0.000
Mg 0.281 0.281 0.500
Mg 0.281 0.719 0.500
Mg 0.719 0.281 0.500
Mg 0.719 0.719 0.500
Mg 0.781 0.219 0.000
Mg 0.781 0.781 0.000
Zn 0.000 0.000 0.500
Zn 0.500 0.500 0.000
Se 0.000 0.500 0.250
Se 0.000 0.500 0.750
Se 0.500 0.000 0.250
Se 0.500 0.000 0.750

=====

No. 4
Entry from Alexandria: a relaxed structure of RbTlPS4 (PBE).

Output
SG: No. 63
M_tot in μB/cell: 0.00
E_form (uncorrected) in eV/atom: -0.49
Fermi-level density of states in states/eV per atom: 0.627

a b c (Å): 6.917 6.917 9.957
angles (deg): 90.00 90.00 120.23
Element x y z (fractional)
Rb 0.188 0.812 0.750
Rb 0.812 0.188 0.250
Tl 0.500 0.500 0.000
Tl 0.500 0.500 0.500
P 0.155 0.845 0.250
P 0.845 0.155 0.750
S 0.190 0.305 0.750
S 0.247 0.753 0.080
S 0.247 0.753 0.420
S 0.305 0.190 0.250
S 0.695 0.810 0.750
S 0.753 0.247 0.580
S 0.753 0.247 0.920
S 0.810 0.695 0.250

=====

No. 5
Entry from Alexandria: a relaxed structure of ZrAsSe (PBE).

Output
SG: No. 139
M_tot in μB/cell: 0.00
E_form (uncorrected) in eV/atom: -0.93
Fermi-level density of states in states/eV per atom: 0.580

a b c (Å): 3.856 3.856 16.246
angles (deg): 90.00 90.00 90.00
Element x y z (fractional)
Zr 0.000 0.000 0.131
Zr 0.000 0.000 0.869
Zr 0.500 0.500 0.369
Zr 0.500 0.500 0.631
As 0.000 0.500 0.000
As 0.000 0.500 0.500
As 0.500 0.000 0.000
As 0.500 0.000 0.500
Se 0.000 0.000 0.309
Se 0.000 0.000 0.691
Se 0.500 0.500 0.191
Se 0.500 0.500 0.809

=====

No. 6
Entry from Alexandria: a relaxed structure of MnCoCu2 (PBE).

Output
ΔE_f in eV/f.u.: 0.5
SG: No. 139
M_tot in μB/cell: 9.34
Fermi-level density of states in states/eV per atom: 0.980

a b c (Å): 3.543 3.543 7.615
angles (deg): 90.00 90.00 90.00
Element x y z (fractional)
Mn 0.000 0.000 0.000
Mn 0.500 0.500 0.500
Co 0.000 0.000 0.500
Co 0.500 0.500 0.000
Cu 0.000 0.500 0.250
Cu 0.000 0.500 0.750
Cu 0.500 0.000 0.250
Cu 0.500 0.000 0.750

=====

| no. | V (A^3/atom) |
| --- | --- |
| 1 | 18.11 |
| 2 | 30.43 |
| 3 | 22.95 |
| 4 | 29.40 |
| 5 | 20.13 |
| 6 | 11.95 |